1.
A plane-wave DFT calculation with GGA+U was carried out for a relaxed AlCrO3 crystal.

Output
As for the total DFT energy (no corrections): -7.55 eV/atom. As for the space group: P-1 (2).

a b c (Å): 3.072 5.106 7.482
angles (deg): 70.55 89.71 89.89
Atoms (fractional coordinates):
Al (0.249, 0.307, 0.123)
Al (0.751, 0.693, 0.877)
Cr (0.250, 0.243, 0.523)
Cr (0.750, 0.757, 0.477)
O (0.248, 0.545, 0.636)
O (0.250, 0.699, 0.997)
O (0.251, 0.016, 0.341)
O (0.749, 0.984, 0.659)
O (0.750, 0.301, 0.003)
O (0.752, 0.455, 0.364)

2.
A plane-wave DFT calculation with GGA+U was carried out for a relaxed Al2CrO5 crystal.

Output
The energy above the most stable polymorph in this dataset comes out at 6 meV per atom. As for the space group: Cmcm (63).

a b c (Å): 5.064 5.064 9.596
angles (deg): 90.00 90.00 138.27
Atoms (fractional coordinates):
Al (0.140, 0.860, 0.560)
Al (0.140, 0.860, 0.940)
Al (0.860, 0.140, 0.060)
Al (0.860, 0.140, 0.440)
Cr (0.184, 0.816, 0.250)
Cr (0.816, 0.184, 0.750)
O (0.047, 0.953, 0.115)
O (0.047, 0.953, 0.385)
O (0.236, 0.764, 0.750)
O (0.312, 0.688, 0.072)
O (0.312, 0.688, 0.428)
O (0.688, 0.312, 0.572)
O (0.688, 0.312, 0.928)
O (0.764, 0.236, 0.250)
O (0.953, 0.047, 0.615)
O (0.953, 0.047, 0.885)

3.
A plane-wave DFT calculation with GGA+U was carried out for a relaxed AlCrO3 crystal.

Output
As for the total DFT energy (no corrections): -7.37 eV/atom. As for the space group: P6_3cm (185).

a b c (Å): 5.572 5.572 11.267
angles (deg): 90.00 90.00 120.00
Atoms (fractional coordinates):
Al (0.000, 0.000, 0.000)
Al (0.000, 0.000, 0.500)
Al (0.333, 0.667, 0.492)
Al (0.333, 0.667, 0.992)
Al (0.667, 0.333, 0.492)
Al (0.667, 0.333, 0.992)
Cr (0.000, 0.329, 0.244)
Cr (0.000, 0.671, 0.744)
Cr (0.329, 0.000, 0.244)
Cr (0.329, 0.329, 0.744)
Cr (0.671, 0.000, 0.744)
Cr (0.671, 0.671, 0.244)
O (0.000, 0.000, 0.180)
O (0.000, 0.000, 0.680)
O (0.000, 0.292, 0.421)
O (0.000, 0.402, 0.075)
O (0.000, 0.598, 0.575)
O (0.000, 0.708, 0.921)
O (0.292, 0.000, 0.421)
O (0.292, 0.292, 0.921)
O (0.333, 0.667, 0.280)
O (0.333, 0.667, 0.780)
O (0.402, 0.000, 0.075)
O (0.402, 0.402, 0.575)
O (0.598, 0.000, 0.575)
O (0.598, 0.598, 0.075)
O (0.667, 0.333, 0.280)
O (0.667, 0.333, 0.780)
O (0.708, 0.000, 0.921)
O (0.708, 0.708, 0.421)

4.
A plane-wave DFT calculation with GGA+U was carried out for a relaxed AlCrO2 crystal.

Output
As for the total DFT energy (no corrections): -6.66 eV/atom. As for the space group: I-42d (122).

a b c (Å): 5.515 5.515 5.515
angles (deg): 129.46 129.46 74.27
Atoms (fractional coordinates):
Al (0.000, 0.000, 0.000)
Al (0.750, 0.250, 0.500)
Cr (0.250, 0.750, 0.500)
Cr (0.500, 0.500, 0.000)
O (0.047, 0.625, 0.922)
O (0.375, 0.297, 0.422)
O (0.703, 0.125, 0.078)
O (0.875, 0.953, 0.578)

Number 4 is which compound?
AlCrO2